Density functional theory data (PBE) for a geometry-optimized TaCr2Fe structure.

Summary:
- Distance to the lowest polymorph of the same formula: 0.178 eV per atom
- Energy of formation from the pure elements: 0.22 eV/atom
- Total magnetic moment: 0.00 μB per formula unit

Geometry as CIF:
```
data_TaCr2Fe
_chemical_formula_sum 'Ta2 Cr4 Fe2'
_cell_length_a 3.502
_cell_length_b 3.502
_cell_length_c 8.607
_cell_angle_alpha 90.00
_cell_angle_beta 90.00
_cell_angle_gamma 90.00
_space_group_name_H-M_alt 'I 4/m m m'
_space_group_IT_number 139
_space_group_name_Hall '-I 4 2'
loop_
_atom_site_label
_atom_site_type_symbol
_atom_site_fract_x
_atom_site_fract_y
_atom_site_fract_z
_atom_site_occupancy
Ta1 Ta 0.000 0.000 0.000 1
Cr1 Cr 0.000 0.500 0.250 1
Fe1 Fe 0.000 0.000 0.500 1
```


Density functional theory data (PBE) for a geometry-optimized Ta5CrFe4 structure.

Summary:
- Energy of formation from the pure elements: -0.14 eV/atom
- Total magnetic moment: 2.87 μB per formula unit

Geometry as CIF:
```
data_Ta5CrFe4
_chemical_formula_sum 'Ta5 Cr1 Fe4'
_cell_length_a 3.070
_cell_length_b 3.070
_cell_length_c 15.326
_cell_angle_alpha 90.00
_cell_angle_beta 90.00
_cell_angle_gamma 90.00
_space_group_name_H-M_alt 'P 4/m m m'
_space_group_IT_number 123
_space_group_name_Hall '-P 4 2'
loop_
_atom_site_label
_atom_site_type_symbol
_atom_site_fract_x
_atom_site_fract_y
_atom_site_fract_z
_atom_site_occupancy
Ta1 Ta 0.000 0.000 0.000 1
Ta2 Ta 0.000 0.000 0.200 1
Ta3 Ta 0.000 0.000 0.401 1
Cr1 Cr 0.500 0.500 0.500 1
Fe1 Fe 0.500 0.500 0.101 1
Fe2 Fe 0.500 0.500 0.298 1
```


Density functional theory data (PBE) for a geometry-optimized TaCrFe structure.

Summary:
- Distance to the lowest polymorph of the same formula: 0.153 eV per atom
- Energy of formation from the pure elements: 0.01 eV/atom
- Total magnetic moment: 1.81 μB per formula unit

Geometry as CIF:
```
data_TaCrFe
_chemical_formula_sum 'Ta4 Cr4 Fe4'
_cell_length_a 3.083
_cell_length_b 12.698
_cell_length_c 4.196
_cell_angle_alpha 90.00
_cell_angle_beta 90.00
_cell_angle_gamma 90.00
_space_group_name_H-M_alt 'C m c m'
_space_group_IT_number 63
_space_group_name_Hall '-C 2c 2'
loop_
_atom_site_label
_atom_site_type_symbol
_atom_site_fract_x
_atom_site_fract_y
_atom_site_fract_z
_atom_site_occupancy
Ta1 Ta 0.000 0.088 0.250 1
Cr1 Cr 0.000 0.411 0.250 1
Fe1 Fe 0.000 0.244 0.750 1
```


Density functional theory data (PBE) for a geometry-optimized Ta2CrFe3 structure.

Summary:
- Energy of formation from the pure elements: -0.18 eV/atom
- Total magnetic moment: 1.87 μB per formula unit

Geometry as CIF:
```
data_Ta2CrFe3
_chemical_formula_sum 'Ta6 Cr3 Fe9'
_cell_length_a 4.8550
_cell_length_b 4.8550
_cell_length_c 11.5344
_cell_angle_alpha 90.00
_cell_angle_beta 90.00
_cell_angle_gamma 120.00
_space_group_name_H-M_alt 'R -3 m'
_space_group_IT_number 166
_space_group_name_Hall '-R 3 2"'
loop_
_atom_site_label
_atom_site_type_symbol
_atom_site_fract_x
_atom_site_fract_y
_atom_site_fract_z
_atom_site_occupancy
Ta1 Ta 0.0000 0.0000 0.1259 1
Cr1 Cr 0.0000 0.0000 0.5000 1
Fe1 Fe 0.0000 0.5000 0.0000 1
```


Density functional theory data (PBE) for a geometry-optimized Ta5Cr4Fe structure.

Summary:
- Energy of formation from the pure elements: -0.08 eV/atom
- Total magnetic moment: 0.32 μB per formula unit

Geometry as CIF:
```
data_Ta5Cr4Fe
_chemical_formula_sum 'Ta5 Cr4 Fe1'
_cell_length_a 3.089
_cell_length_b 3.089
_cell_length_c 15.441
_cell_angle_alpha 90.00
_cell_angle_beta 90.00
_cell_angle_gamma 90.00
_space_group_name_H-M_alt 'P 4/m m m'
_space_group_IT_number 123
_space_group_name_Hall '-P 4 2'
loop_
_atom_site_label
_atom_site_type_symbol
_atom_site_fract_x
_atom_site_fract_y
_atom_site_fract_z
_atom_site_occupancy
Ta1 Ta 0.000 0.000 0.000 1
Ta2 Ta 0.000 0.000 0.202 1
Ta3 Ta 0.000 0.000 0.401 1
Cr1 Cr 0.500 0.500 0.100 1
Cr2 Cr 0.500 0.500 0.303 1
Fe1 Fe 0.500 0.500 0.500 1
```


Density functional theory data (PBE) for a geometry-optimized Ta2CrFe structure.

Summary:
- Distance to the lowest polymorph of the same formula: 0.226 eV per atom
- Energy of formation from the pure elements: 0.09 eV/atom
- Total magnetic moment: 0.10 μB per formula unit

Geometry as CIF:
```
data_Ta2CrFe
_chemical_formula_sum 'Ta4 Cr2 Fe2'
_cell_length_a 3.708
_cell_length_b 4.234
_cell_length_c 7.536
_cell_angle_alpha 90.00
_cell_angle_beta 90.00
_cell_angle_gamma 90.00
_space_group_name_H-M_alt 'C m m 2'
_space_group_IT_number 35
_space_group_name_Hall 'C 2 -2'
loop_
_atom_site_label
_atom_site_type_symbol
_atom_site_fract_x
_atom_site_fract_y
_atom_site_fract_z
_atom_site_occupancy
Ta1 Ta 0.000 0.000 0.000 1
Ta2 Ta 0.000 0.500 0.310 1
Cr1 Cr 0.000 0.500 0.734 1
Fe1 Fe 0.000 0.000 0.569 1
```


Density functional theory data (PBE) for a geometry-optimized TaCr2Fe structure.

Summary:
- Distance to the lowest polymorph of the same formula: 0.095 eV per atom
- Energy of formation from the pure elements: 0.13 eV/atom
- Total magnetic moment: 1.36 μB per formula unit

Geometry as CIF:
```
data_TaCr2Fe
_chemical_formula_sum 'Ta1 Cr2 Fe1'
_cell_length_a 4.182
_cell_length_b 4.182
_cell_length_c 3.043
_cell_angle_alpha 90.00
_cell_angle_beta 90.00
_cell_angle_gamma 90.00
_space_group_name_H-M_alt 'P 4/m m m'
_space_group_IT_number 123
_space_group_name_Hall '-P 4 2'
loop_
_atom_site_label
_atom_site_type_symbol
_atom_site_fract_x
_atom_site_fract_y
_atom_site_fract_z
_atom_site_occupancy
Ta1 Ta 0.000 0.000 0.000 1
Cr1 Cr 0.000 0.500 0.500 1
Fe1 Fe 0.500 0.500 0.000 1
```


Density functional theory data (PBE) for a geometry-optimized TaCr2Fe structure.

Summary:
- Distance to the lowest polymorph of the same formula: 0.111 eV per atom
- Energy of formation from the pure elements: 0.15 eV/atom
- Total magnetic moment: 1.60 μB per formula unit

Geometry as CIF:
```
data_TaCr2Fe
_chemical_formula_sum 'Ta2 Cr4 Fe2'
_cell_length_a 5.075
_cell_length_b 8.480
_cell_length_c 2.611
_cell_angle_alpha 90.00
_cell_angle_beta 110.05
_cell_angle_gamma 90.00
_space_group_name_H-M_alt 'C 1 2/m 1'
_space_group_IT_number 12
_space_group_name_Hall '-C 2y'
loop_
_atom_site_label
_atom_site_type_symbol
_atom_site_fract_x
_atom_site_fract_y
_atom_site_fract_z
_atom_site_occupancy
Ta1 Ta 0.000 0.000 0.000 1
Cr1 Cr 0.250 0.250 0.500 1
Fe1 Fe 0.000 0.500 0.000 1
```


Density functional theory data (PBE) for a geometry-optimized TaCr2Fe structure.

Summary:
- Distance to the lowest polymorph of the same formula: 0.127 eV per atom
- Energy of formation from the pure elements: 0.17 eV/atom
- Total magnetic moment: 1.53 μB per formula unit

Geometry as CIF:
```
data_TaCr2Fe
_chemical_formula_sum 'Ta1 Cr2 Fe1'
_cell_length_a 2.602
_cell_length_b 4.215
_cell_length_c 4.876
_cell_angle_alpha 90.00
_cell_angle_beta 100.12
_cell_angle_gamma 90.00
_space_group_name_H-M_alt 'P 1 2/m 1'
_space_group_IT_number 10
_space_group_name_Hall '-P 2y'
loop_
_atom_site_label
_atom_site_type_symbol
_atom_site_fract_x
_atom_site_fract_y
_atom_site_fract_z
_atom_site_occupancy
Ta1 Ta 0.000 0.000 0.000 1
Cr1 Cr 0.241 0.500 0.736 1
Fe1 Fe 0.500 0.000 0.500 1
```


Density functional theory data (PBE) for a geometry-optimized TaCrFe structure.

Summary:
- Distance to the lowest polymorph of the same formula: 0.233 eV per atom
- Energy of formation from the pure elements: 0.09 eV/atom
- Total magnetic moment: 1.48 μB per formula unit

Geometry as CIF:
```
data_TaCrFe
_chemical_formula_sum 'Ta2 Cr2 Fe2'
_cell_length_a 3.043
_cell_length_b 3.043
_cell_length_c 8.877
_cell_angle_alpha 90.00
_cell_angle_beta 90.00
_cell_angle_gamma 90.00
_space_group_name_H-M_alt 'I 4 m m'
_space_group_IT_number 107
_space_group_name_Hall 'I 4 -2'
loop_
_atom_site_label
_atom_site_type_symbol
_atom_site_fract_x
_atom_site_fract_y
_atom_site_fract_z
_atom_site_occupancy
Ta1 Ta 0.000 0.000 0.000 1
Cr1 Cr 0.000 0.000 0.674 1
Fe1 Fe 0.000 0.000 0.325 1
```